No. 1
This record from Alexandria via LeMat-Bulk describes an optimized crystal structure of LaPr3Sm. The functional is GGA-PBE.

Values from the calculation:
energy of formation	0.2940	eV/atom
total magnetic moment	0.00	μB per atom

Unit cell a=8.145 b=13.985 c=6.603 alpha=90.00 beta=90.00 gamma=90.00
Space group Cmcm (No. 63)
Symmetry-distinct sites (fractional):
1 La 0.000 0.199 0.250 x4
2 Pr 0.000 0.000 0.000 x4
3 Pr 0.199 0.402 0.250 x8
4 Sm 0.000 0.335 0.750 x4


No. 2
This record from Alexandria via LeMat-Bulk describes an optimized crystal structure of La2SmPb3. The functional is GGA-PBE.

Values from the calculation:
energy of formation	-0.5263	eV/atom
total magnetic moment	0.21	μB per atom

Unit cell a=5.973 b=17.931 c=7.025 alpha=90.00 beta=90.00 gamma=90.00
Space group Cmmm (No. 65)
Symmetry-distinct sites (fractional):
1 La 0.000 0.000 0.000 x2
2 La 0.000 0.000 0.500 x2
3 La 0.000 0.335 0.000 x4
4 Sm 0.000 0.333 0.500 x4
5 Pb 0.000 0.169 0.262 x8
6 Pb 0.000 0.500 0.261 x4


No. 3
This record from Alexandria via LeMat-Bulk describes an optimized crystal structure of Pa2TlW. The functional is GGA-PBE.

Values from the calculation:
energy of formation	0.1847	eV/atom
total magnetic moment	0.00	μB per atom

Unit cell a=3.236 b=3.236 c=9.130 alpha=90.00 beta=90.00 gamma=90.00
Space group P4/mmm (No. 123)
Symmetry-distinct sites (fractional):
1 Pa 0.000 0.000 0.210 x2
2 Tl 0.500 0.500 0.500 x1
3 W 0.500 0.500 0.000 x1


No. 4
This record from Alexandria via LeMat-Bulk describes an optimized crystal structure of Na2B3Ir2. The functional is GGA-PBE.

Values from the calculation:
energy of formation	-0.1218	eV/atom
total magnetic moment	0.00	μB per atom

Unit cell a=11.349 b=3.234 c=6.734 alpha=90.00 beta=119.10 gamma=90.00
Space group C2/m (No. 12)
Symmetry-distinct sites (fractional):
1 Na 0.139 0.000 0.267 x4
2 B 0.000 0.500 0.500 x2
3 B 0.223 0.500 0.959 x4
4 Ir 0.111 0.000 0.705 x4


No. 5
This record from Alexandria via LeMat-Bulk describes an optimized crystal structure of K3TiI2F6. The functional is GGA-PBE.

Values from the calculation:
E_form (uncorrected)	-2.5854	eV per atom
total magnetic moment	0.00	μB per atom

Unit cell a=15.103 b=6.726 c=6.369 alpha=90.00 beta=90.31 gamma=90.00
Space group C2/m (No. 12)
Symmetry-distinct sites (fractional):
1 K 0.000 0.000 0.000 x2
2 K 0.250 0.250 0.500 x4
3 Ti 0.000 0.500 0.500 x2
4 I 0.243 0.000 0.002 x4
5 F 0.006 0.298 0.706 x8
6 F 0.128 0.500 0.483 x4


No. 6
This record from Alexandria via LeMat-Bulk describes an optimized crystal structure of Tb2DyReO8. The functional is GGA-PBE.

Values from the calculation:
E_form (uncorrected)	-2.7823	eV per atom
total magnetic moment	0.00	μB per atom

Unit cell a=7.120 b=7.206 c=6.768 alpha=90.00 beta=90.00 gamma=90.00
Space group Cmmm (No. 65)
Symmetry-distinct sites (fractional):
1 Tb 0.000 0.000 0.248 x4
2 Dy 0.000 0.500 0.000 x2
3 Re 0.000 0.500 0.500 x2
4 O 0.000 0.319 0.293 x8
5 O 0.194 0.000 0.000 x4
6 O 0.233 0.000 0.500 x4


No. 7
This record from Alexandria via LeMat-Bulk describes an optimized crystal structure of HoTh6Sc8. The functional is GGA-PBE.

Values from the calculation:
energy of formation	0.1785	eV/atom
total magnetic moment	0.00	μB per atom

Unit cell a=9.2025 b=9.2025 c=17.3481 alpha=90.00 beta=90.00 gamma=120.00
Space group R-3 (No. 148, hexagonal axes)
Symmetry-distinct sites (fractional):
1 Ho 0.0000 0.0000 0.0000 x3
2 Th 0.0236 0.2313 0.4092 x18
3 Sc 0.0000 0.0000 0.2255 x6
4 Sc 0.0517 0.2815 0.9010 x18


No. 8
This record from Alexandria via LeMat-Bulk describes an optimized crystal structure of Ba2LaCdSe5. The functional is GGA-PBE.

Values from the calculation:
E_form (uncorrected)	-1.5436	eV per atom
total magnetic moment	0.00	μB per atom

Unit cell a=4.458 b=19.204 c=13.311 alpha=90.00 beta=90.00 gamma=90.00
Space group Cmc2_1 (No. 36)
Symmetry-distinct sites (fractional):
1 Ba 0.000 0.113 0.000 x4
2 Ba 0.000 0.128 0.630 x4
3 La 0.000 0.208 0.327 x4
4 Cd 0.000 0.451 0.761 x4
5 Se 0.000 0.050 0.372 x4
6 Se 0.000 0.291 0.980 x4
7 Se 0.000 0.313 0.676 x4
8 Se 0.000 0.360 0.319 x4
9 Se 0.000 0.495 0.081 x4


No. 9
This record from Alexandria via LeMat-Bulk describes an optimized crystal structure of NaInS2. The functional is GGA-PBE.

Values from the calculation:
E_form (uncorrected)	-0.8132	eV per atom
total magnetic moment	0.00	μB per atom

Unit cell a=5.595 b=5.595 c=11.049 alpha=90.00 beta=90.00 gamma=90.00
Space group I4_1/amd (No. 141, origin choice 2)
Symmetry-distinct sites (fractional):
1 Na 0.000 0.250 0.375 x4
2 In 0.000 0.250 0.875 x4
3 S 0.000 0.250 0.102 x8


No. 10
This record from Alexandria via LeMat-Bulk describes an optimized crystal structure of La2Tb12Th. The functional is GGA-PBE.

Values from the calculation:
energy of formation	0.1683	eV/atom
total magnetic moment	0.00	μB per atom

Unit cell a=7.058 b=11.511 c=24.918 alpha=90.00 beta=90.00 gamma=90.00
Space group Cmme (No. 67)
Symmetry-distinct sites (fractional):
1 La 0.000 0.250 0.231 x4
2 La 0.000 0.250 0.768 x4
3 Tb 0.000 0.000 0.062 x8
4 Tb 0.000 0.000 0.425 x8
5 Tb 0.250 0.000 0.173 x8
6 Tb 0.250 0.000 0.302 x8
7 Tb 0.250 0.250 0.084 x8
8 Tb 0.250 0.250 0.376 x8
9 Th 0.000 0.250 0.500 x4


No. 11
This record from Alexandria via LeMat-Bulk describes an optimized crystal structure of CaTeC. The functional is GGA-PBE.

Values from the calculation:
E_form (uncorrected)	-0.4343	eV per atom
total magnetic moment	0.00	μB per atom

Unit cell a=7.370 b=4.624 c=9.520 alpha=90.00 beta=97.50 gamma=90.00
Space group Cm (No. 8)
Symmetry-distinct sites (fractional):
1 Ca 0.000 0.000 0.000 x2
2 Ca 0.088 0.000 0.411 x2
3 Te 0.102 0.500 0.803 x2
4 Te 0.387 0.000 0.187 x2
5 C 0.203 0.500 0.613 x2
6 C 0.275 0.500 0.500 x2


No. 12
This record from Alexandria via LeMat-Bulk describes an optimized crystal structure of La2YV. The functional is GGA-PBE.

Values from the calculation:
energy of formation	0.3774	eV/atom
total magnetic moment	0.42	μB per atom

Unit cell a=3.5858 b=3.5858 c=32.0727 alpha=90.00 beta=90.00 gamma=120.00
Space group R-3m (No. 166, hexagonal axes)
Symmetry-distinct sites (fractional):
1 La 0.0000 0.0000 0.2374 x6
2 Y 0.0000 0.0000 0.0000 x3
3 V 0.0000 0.0000 0.5000 x3


> Among the records above, which one has the highest total magnetic moment?

La2YV


What did the second record say?
This record from Alexandria via LeMat-Bulk describes an optimized crystal structure of La2SmPb3. The functional is GGA-PBE.

Values from the calculation:
energy of formation	-0.5263	eV/atom
total magnetic moment	0.21	μB per atom

Unit cell a=5.973 b=17.931 c=7.025 alpha=90.00 beta=90.00 gamma=90.00
Space group Cmmm (No. 65)
Symmetry-distinct sites (fractional):
1 La 0.000 0.000 0.000 x2
2 La 0.000 0.000 0.500 x2
3 La 0.000 0.335 0.000 x4
4 Sm 0.000 0.333 0.500 x4
5 Pb 0.000 0.169 0.262 x8
6 Pb 0.000 0.500 0.261 x4


Repeat the sixth record exactly.
This record from Alexandria via LeMat-Bulk describes an optimized crystal structure of Tb2DyReO8. The functional is GGA-PBE.

Values from the calculation:
E_form (uncorrected)	-2.7823	eV per atom
total magnetic moment	0.00	μB per atom

Unit cell a=7.120 b=7.206 c=6.768 alpha=90.00 beta=90.00 gamma=90.00
Space group Cmmm (No. 65)
Symmetry-distinct sites (fractional):
1 Tb 0.000 0.000 0.248 x4
2 Dy 0.000 0.500 0.000 x2
3 Re 0.000 0.500 0.500 x2
4 O 0.000 0.319 0.293 x8
5 O 0.194 0.000 0.000 x4
6 O 0.233 0.000 0.500 x4